Record 1
Below is a relaxed structure of CaLa2Sn, with properties calculated at the PBE-GGA level.

a b c (Å): 7.1315 7.1315 7.1330
angles (deg): 90.00 90.00 131.02
Fractional coordinates of all 8 atoms:
1 Ca 0.0796 0.9204 0.7500
2 Ca 0.9204 0.0796 0.2500
3 La 0.3649 0.6351 0.5325
4 La 0.3649 0.6351 0.9675
5 La 0.6351 0.3649 0.0325
6 La 0.6351 0.3649 0.4675
7 Sn 0.1638 0.8362 0.2500
8 Sn 0.8362 0.1638 0.7500

Mass density, kg/m3: 5298
VASP energy, eV per atom: -4.299
Crystal system: orthorhombic
Space group: Cmcm, No. 63

=====

Record 2
Below is a relaxed structure of CaLaSn, with properties calculated at the PBE-GGA level.

a b c (Å): 5.5435 5.5435 7.1230
angles (deg): 90.00 90.00 120.00
Fractional coordinates of all 6 atoms:
1 Ca 0.0000 0.0000 0.0000
2 Ca 0.3333 0.6667 0.7679
3 La 0.3333 0.6667 0.2617
4 La 0.6667 0.3333 0.5301
5 Sn 0.0000 0.0000 0.4933
6 Sn 0.6667 0.3333 0.0204

Mass density, kg/m3: 5215
VASP energy, eV per atom: -4.226
Crystal system: trigonal
Space group: P3m1, No. 156

=====

Record 3
Below is a relaxed structure of CaLa3Sn2, with properties calculated at the PBE-GGA level.

a b c (Å): 3.3938 5.4851 9.4921
angles (deg): 90.00 90.00 90.00
Fractional coordinates of all 6 atoms:
1 Ca 0.0000 0.0000 0.0000
2 La 0.0000 0.0000 0.3387
3 La 0.0000 0.5000 0.4910
4 La 0.0000 0.5000 0.8195
5 Sn 0.5000 0.0000 0.6643
6 Sn 0.5000 0.5000 0.1598

Mass density, kg/m3: 6524
Crystal system: orthorhombic
Space group: Pmm2, No. 25
E above lowest polymorph, eV per formula unit: 1.78

=====

Record 4
Below is a relaxed structure of CaLaSn, with properties calculated at the PBE-GGA level.

a b c (Å): 7.7282 6.5633 6.3755
angles (deg): 73.34 54.45 52.21
Fractional coordinates of all 6 atoms:
1 Ca 0.1717 0.1717 0.8283
2 Ca 0.8283 0.8283 0.1717
3 La 0.3224 0.6776 0.3224
4 La 0.6776 0.3224 0.6776
5 Sn 0.2500 0.2500 0.2500
6 Sn 0.7500 0.7500 0.7500

Mass density, kg/m3: 4783
VASP energy, eV per atom: -4.164
Crystal system: orthorhombic
Space group: Fmmm, No. 69

=====

Record 5
Below is a relaxed structure of Ca3La3Sn4, with properties calculated at the PBE-GGA level.

a b c (Å): 4.7375 8.2737 8.2737
angles (deg): 90.07 90.00 90.00
Fractional coordinates of all 10 atoms:
1 Ca 0.0000 0.0000 0.0000
2 Ca 0.5000 0.3253 0.8272
3 Ca 0.5000 0.8272 0.3253
4 La 0.0000 0.1523 0.5001
5 La 0.0000 0.5001 0.1523
6 La 0.0000 0.6556 0.6556
7 Sn 0.5000 0.2020 0.2020
8 Sn 0.5000 0.4518 0.4518
9 Sn 0.5000 0.7009 0.9517
10 Sn 0.5000 0.9517 0.7009

Mass density, kg/m3: 5181
VASP energy, eV per atom: -4.403
Crystal system: orthorhombic
Space group: Amm2, No. 38

=====

Record 6
Below is a relaxed structure of CaLa5Sn4, with properties calculated at the PBE-GGA level.

a b c (Å): 10.2978 10.5854 7.8288
angles (deg): 90.00 90.00 90.00
Fractional coordinates of all 20 atoms:
1 Ca 0.2500 0.2500 0.2089
2 Ca 0.7500 0.7500 0.7911
3 La 0.0071 0.5438 0.2523
4 La 0.0071 0.9562 0.2523
5 La 0.2500 0.7500 0.7814
6 La 0.4929 0.5438 0.2523
7 La 0.4929 0.9562 0.2523
8 La 0.5071 0.0438 0.7477
9 La 0.5071 0.4562 0.7477
10 La 0.7500 0.2500 0.2186
11 La 0.9929 0.0438 0.7477
12 La 0.9929 0.4562 0.7477
13 Sn 0.0051 0.2500 0.4483
14 Sn 0.2500 0.0016 0.9955
15 Sn 0.2500 0.4984 0.9955
16 Sn 0.4949 0.2500 0.4483
17 Sn 0.5051 0.7500 0.5517
18 Sn 0.7500 0.5016 0.0045
19 Sn 0.7500 0.9984 0.0045
20 Sn 0.9949 0.7500 0.5517

Mass density, kg/m3: 4707
VASP energy, eV per atom: -4.630
Crystal system: orthorhombic
Space group: Pmmn, No. 59